1.
The following is a DFT calculation (PBE) of Gd2HoSn3PdPt2 after structural relaxation.

Values from the calculation:
* total magnetization: 0.002 μB/atom
* final energy: -5.847 eV/atom

a b c (Å): 4.036 13.045 7.550
angles (deg): 90.00 90.00 90.00
Space group Amm2 (No. 38)
Asymmetric unit:
Gd  0.000  0.205  0.000 (multiplicity 4)
Ho  0.000  0.000  0.386 (multiplicity 2)
Sn  0.500  0.000  0.052 (multiplicity 2)
Sn  0.500  0.128  0.666 (multiplicity 4)
Pd  0.000  0.000  0.793 (multiplicity 2)
Pt  0.500  0.165  0.296 (multiplicity 4)

=====

2.
The following is a DFT calculation (PBE) of NaHfTe4Au3 after structural relaxation.

Values from the calculation:
* total magnetization: 0.000 μB/atom
* final energy: -4.142 eV/atom
* offset from the most stable computed form: 63 meV/atom

a b c (Å): 6.674 8.862 9.518
angles (deg): 90.00 98.38 90.00
Space group P2_1/m (No. 11)
Asymmetric unit:
Na  0.169  0.250  0.048 (multiplicity 2)
Hf  0.228  0.750  0.284 (multiplicity 2)
Te  0.033  0.003  0.762 (multiplicity 4)
Te  0.402  0.750  0.045 (multiplicity 2)
Te  0.496  0.250  0.453 (multiplicity 2)
Au  0.211  0.531  0.515 (multiplicity 4)
Au  0.320  0.250  0.707 (multiplicity 2)

=====

- Which of these has the highest final energy?
  NaHfTe4Au3

=====

- Among the records above, which one has the lowest total magnetization?
  NaHfTe4Au3

=====

- Which of these has the lowest final energy?
  Gd2HoSn3PdPt2

=====

- Look up the final energy of the first one.
  -5.847 eV/atom